(1)
# SrPIrO (PBE, relaxed)
data_SrPIrO
_chemical_formula_sum 'Sr2 P2 Ir2 O2'
_symmetry_space_group_name_H-M 'P m c 21'
_symmetry_Int_Tables_number 26
_symmetry_space_group_name_Hall 'P 2c -2'
_cell_length_a 4.714
_cell_length_b 4.097
_cell_length_c 7.061
_cell_angle_alpha 90.00
_cell_angle_beta 90.00
_cell_angle_gamma 90.00
loop_
_atom_site_label
_atom_site_fract_x
_atom_site_fract_y
_atom_site_fract_z
Sr1 0.000 0.247 0.000
P1 0.500 0.251 0.668
Ir1 0.500 0.251 0.334
O1 0.000 0.253 0.334
# Excess energy over the best structure of this formula in the dataset in meV/atom: 333.0
# Size of the total moment in μB per formula unit: 0.0



(2)
# TaPIrO (PBE, relaxed)
data_TaPIrO
_chemical_formula_sum 'Ta2 P2 Ir2 O2'
_symmetry_space_group_name_H-M 'P m c 21'
_symmetry_Int_Tables_number 26
_symmetry_space_group_name_Hall 'P 2c -2'
_cell_length_a 3.348
_cell_length_b 5.742
_cell_length_c 7.049
_cell_angle_alpha 90.00
_cell_angle_beta 90.00
_cell_angle_gamma 90.00
loop_
_atom_site_label
_atom_site_fract_x
_atom_site_fract_y
_atom_site_fract_z
Ta1 0.000 0.101 0.000
P1 0.500 0.275 0.392
Ir1 0.500 0.406 0.092
O1 0.000 0.098 0.726
# Excess energy over the best structure of this formula in the dataset in meV/atom: 2.8
# Size of the total moment in μB per formula unit: 0.0



(3)
# TaPIrO (PBE, relaxed)
data_TaPIrO
_chemical_formula_sum 'Ta2 P2 Ir2 O2'
_symmetry_space_group_name_H-M 'P m c 21'
_symmetry_Int_Tables_number 26
_symmetry_space_group_name_Hall 'P 2c -2'
_cell_length_a 3.346
_cell_length_b 6.378
_cell_length_c 6.121
_cell_angle_alpha 90.00
_cell_angle_beta 90.00
_cell_angle_gamma 90.00
loop_
_atom_site_label
_atom_site_fract_x
_atom_site_fract_y
_atom_site_fract_z
Ta1 0.000 0.098 0.000
P1 0.000 0.281 0.380
Ir1 0.500 0.223 0.639
O1 0.500 0.270 0.978
# Excess energy over the best structure of this formula in the dataset in meV/atom: 89.2
# Size of the total moment in μB per formula unit: 0.0



(4)
# TaPIrO (PBE, relaxed)
data_TaPIrO
_chemical_formula_sum 'Ta2 P2 Ir2 O2'
_symmetry_space_group_name_H-M 'P 4/n m m'
_symmetry_Int_Tables_number 129
_cell_length_a 4.728
_cell_length_b 4.728
_cell_length_c 4.764
_cell_angle_alpha 90.00
_cell_angle_beta 90.00
_cell_angle_gamma 90.00
loop_
_symmetry_equiv_pos_as_xyz
'x,y,z'
'-x,-y,-z'
'-y+1/2,x,z'
'y+1/2,-x,-z'
'-x+1/2,-y+1/2,z'
'x+1/2,y+1/2,-z'
'y,-x+1/2,z'
'-y,x+1/2,-z'
'x+1/2,-y,-z'
'-x+1/2,y,z'
'-y,-x,-z'
'y,x,z'
'-x,y+1/2,-z'
'x,-y+1/2,z'
'y+1/2,x+1/2,-z'
'-y+1/2,-x+1/2,z'
loop_
_atom_site_label
_atom_site_fract_x
_atom_site_fract_y
_atom_site_fract_z
Ta1 0.250 0.750 0.000
P1 0.250 0.250 0.201
Ir1 0.250 0.250 0.696
O1 0.250 0.750 0.500
# Excess energy over the best structure of this formula in the dataset in meV/atom: 615.7
# Size of the total moment in μB per formula unit: 0.0



(5)
# TaPIrO (PBE, relaxed)
data_TaPIrO
_chemical_formula_sum 'Ta2 P2 Ir2 O2'
_symmetry_space_group_name_H-M 'P 4/n m m'
_symmetry_Int_Tables_number 129
_cell_length_a 3.742
_cell_length_b 3.742
_cell_length_c 7.342
_cell_angle_alpha 90.00
_cell_angle_beta 90.00
_cell_angle_gamma 90.00
loop_
_symmetry_equiv_pos_as_xyz
'x,y,z'
'-x,-y,-z'
'-y+1/2,x,z'
'y+1/2,-x,-z'
'-x+1/2,-y+1/2,z'
'x+1/2,y+1/2,-z'
'y,-x+1/2,z'
'-y,x+1/2,-z'
'x+1/2,-y,-z'
'-x+1/2,y,z'
'-y,-x,-z'
'y,x,z'
'-x,y+1/2,-z'
'x,-y+1/2,z'
'y+1/2,x+1/2,-z'
'-y+1/2,-x+1/2,z'
loop_
_atom_site_label
_atom_site_fract_x
_atom_site_fract_y
_atom_site_fract_z
Ta1 0.250 0.250 0.171
P1 0.250 0.250 0.704
Ir1 0.250 0.750 0.500
O1 0.250 0.750 0.000
# Excess energy over the best structure of this formula in the dataset in meV/atom: 0.0
# Size of the total moment in μB per formula unit: 0.0



(6)
# TbYP2Ir2O2 (PBE, relaxed)
data_TbYP2Ir2O2
_chemical_formula_sum 'Tb1 Y1 P2 Ir2 O2'
_symmetry_space_group_name_H-M 'P 4 m m'
_symmetry_Int_Tables_number 99
_symmetry_space_group_name_Hall 'P 4 -2'
_cell_length_a 3.959
_cell_length_b 3.959
_cell_length_c 8.007
_cell_angle_alpha 90.00
_cell_angle_beta 90.00
_cell_angle_gamma 90.00
loop_
_atom_site_label
_atom_site_fract_x
_atom_site_fract_y
_atom_site_fract_z
Tb1 0.000 0.000 0.000
Y1 0.500 0.500 0.727
P1 0.000 0.000 0.527
P2 0.500 0.500 0.200
Ir1 0.000 0.500 0.363
O1 0.000 0.500 0.863
# Raw total energy in eV/atom: -8.15
# Size of the total moment in μB per formula unit: 0.0



(7)
# TePIrO (PBE, relaxed)
data_TePIrO
_chemical_formula_sum 'Te2 P2 Ir2 O2'
_symmetry_space_group_name_H-M 'P m c 21'
_symmetry_Int_Tables_number 26
_symmetry_space_group_name_Hall 'P 2c -2'
_cell_length_a 3.853
_cell_length_b 5.201
_cell_length_c 7.430
_cell_angle_alpha 90.00
_cell_angle_beta 90.00
_cell_angle_gamma 90.00
loop_
_atom_site_label
_atom_site_fract_x
_atom_site_fract_y
_atom_site_fract_z
Te1 0.000 0.163 0.000
P1 0.000 0.281 0.333
Ir1 0.500 0.493 0.896
O1 0.500 0.326 0.644
# Excess energy over the best structure of this formula in the dataset in meV/atom: 0.0
# Size of the total moment in μB per formula unit: 0.0



(8)
# TePIrO (PBE, relaxed)
data_TePIrO
_chemical_formula_sum 'Te2 P2 Ir2 O2'
_symmetry_space_group_name_H-M 'P m c 21'
_symmetry_Int_Tables_number 26
_symmetry_space_group_name_Hall 'P 2c -2'
_cell_length_a 3.727
_cell_length_b 7.092
_cell_length_c 6.345
_cell_angle_alpha 90.00
_cell_angle_beta 90.00
_cell_angle_gamma 90.00
loop_
_atom_site_label
_atom_site_fract_x
_atom_site_fract_y
_atom_site_fract_z
Te1 0.000 0.143 0.000
P1 0.500 0.360 0.872
Ir1 0.500 0.348 0.517
O1 0.000 0.302 0.480
# Excess energy over the best structure of this formula in the dataset in meV/atom: 97.0
# Size of the total moment in μB per formula unit: 0.0



(9)
# TePIrO (PBE, relaxed)
data_TePIrO
_chemical_formula_sum 'Te2 P2 Ir2 O2'
_symmetry_space_group_name_H-M 'P 4/n m m'
_symmetry_Int_Tables_number 129
_cell_length_a 3.989
_cell_length_b 3.989
_cell_length_c 8.906
_cell_angle_alpha 90.00
_cell_angle_beta 90.00
_cell_angle_gamma 90.00
loop_
_symmetry_equiv_pos_as_xyz
'x,y,z'
'-x,-y,-z'
'-y+1/2,x,z'
'y+1/2,-x,-z'
'-x+1/2,-y+1/2,z'
'x+1/2,y+1/2,-z'
'y,-x+1/2,z'
'-y,x+1/2,-z'
'x+1/2,-y,-z'
'-x+1/2,y,z'
'-y,-x,-z'
'y,x,z'
'-x,y+1/2,-z'
'x,-y+1/2,z'
'y+1/2,x+1/2,-z'
'-y+1/2,-x+1/2,z'
loop_
_atom_site_label
_atom_site_fract_x
_atom_site_fract_y
_atom_site_fract_z
Te1 0.250 0.250 0.125
P1 0.250 0.250 0.643
Ir1 0.250 0.750 0.500
O1 0.250 0.750 0.000
# Excess energy over the best structure of this formula in the dataset in meV/atom: 67.8
# Size of the total moment in μB per formula unit: 0.0



(10)
# TePIrO (PBE, relaxed)
data_TePIrO
_chemical_formula_sum 'Te2 P2 Ir2 O2'
_symmetry_space_group_name_H-M 'P 4/n m m'
_symmetry_Int_Tables_number 129
_cell_length_a 4.231
_cell_length_b 4.231
_cell_length_c 9.674
_cell_angle_alpha 90.00
_cell_angle_beta 90.00
_cell_angle_gamma 90.00
loop_
_symmetry_equiv_pos_as_xyz
'x,y,z'
'-x,-y,-z'
'-y+1/2,x,z'
'y+1/2,-x,-z'
'-x+1/2,-y+1/2,z'
'x+1/2,y+1/2,-z'
'y,-x+1/2,z'
'-y,x+1/2,-z'
'x+1/2,-y,-z'
'-x+1/2,y,z'
'-y,-x,-z'
'y,x,z'
'-x,y+1/2,-z'
'x,-y+1/2,z'
'y+1/2,x+1/2,-z'
'-y+1/2,-x+1/2,z'
loop_
_atom_site_label
_atom_site_fract_x
_atom_site_fract_y
_atom_site_fract_z
Te1 0.250 0.750 0.000
P1 0.250 0.250 0.221
Ir1 0.250 0.250 0.441
O1 0.250 0.750 0.500
# Excess energy over the best structure of this formula in the dataset in meV/atom: 584.6
# Size of the total moment in μB per formula unit: 0.0



(11)
# TmPIrO (PBE, relaxed)
data_TmPIrO
_chemical_formula_sum 'Tm2 P2 Ir2 O2'
_symmetry_space_group_name_H-M 'P 4/n m m'
_symmetry_Int_Tables_number 129
_cell_length_a 5.673
_cell_length_b 5.673
_cell_length_c 4.359
_cell_angle_alpha 90.00
_cell_angle_beta 90.00
_cell_angle_gamma 90.00
loop_
_symmetry_equiv_pos_as_xyz
'x,y,z'
'-x,-y,-z'
'-y+1/2,x,z'
'y+1/2,-x,-z'
'-x+1/2,-y+1/2,z'
'x+1/2,y+1/2,-z'
'y,-x+1/2,z'
'-y,x+1/2,-z'
'x+1/2,-y,-z'
'-x+1/2,y,z'
'-y,-x,-z'
'y,x,z'
'-x,y+1/2,-z'
'x,-y+1/2,z'
'y+1/2,x+1/2,-z'
'-y+1/2,-x+1/2,z'
loop_
_atom_site_label
_atom_site_fract_x
_atom_site_fract_y
_atom_site_fract_z
Tm1 0.250 0.750 0.000
P1 0.250 0.250 0.147
Ir1 0.250 0.250 0.651
O1 0.250 0.750 0.500
# Excess energy over the best structure of this formula in the dataset in meV/atom: 1193.2
# Size of the total moment in μB per formula unit: 0.5



(12)
# TmPIrO (PBE, relaxed)
data_TmPIrO
_chemical_formula_sum 'Tm2 P2 Ir2 O2'
_symmetry_space_group_name_H-M 'P m c 21'
_symmetry_Int_Tables_number 26
_symmetry_space_group_name_Hall 'P 2c -2'
_cell_length_a 3.290
_cell_length_b 7.611
_cell_length_c 5.269
_cell_angle_alpha 90.00
_cell_angle_beta 90.00
_cell_angle_gamma 90.00
loop_
_atom_site_label
_atom_site_fract_x
_atom_site_fract_y
_atom_site_fract_z
Tm1 0.000 0.215 0.000
P1 0.000 0.420 0.495
Ir1 0.500 0.215 0.487
O1 0.500 0.056 0.903
# Excess energy over the best structure of this formula in the dataset in meV/atom: 656.0
# Size of the total moment in μB per formula unit: 0.0